Compound: KMnF3
Source: Alexandria
Functional: GGA+U
Structure: relaxed

```
KMnF3
1.0
4.260 0.000 0.000
0.000 4.260 0.000
0.000 0.000 4.260
K Mn F
1 1 3
direct
0.000 0.000 0.000 K
0.500 0.500 0.500 Mn
0.000 0.500 0.500 F
0.500 0.000 0.500 F
0.500 0.500 0.000 F
```

Results
The calculation puts the total energy at -5.609 eV/atom. As for the symmetry: Pm-3m. For the spin magnetization, the calculation gives 5.0 μB/f.u.